! BaLiBiO3 PBE optimized geometry; values from VASP
! * formation energy from raw total energies: -1.815 eV/atom
&SYSTEM
  ibrav = 0, nat = 12, ntyp = 4
/
ATOMIC_SPECIES
Ba 137.33 Ba.upf
Li 6.94 Li.upf
Bi 208.98 Bi.upf
O 16.00 O.upf
ATOMIC_POSITIONS angstrom
Ba 1.423 0.901 1.426
Ba 4.306 2.704 5.959
Li 1.399 2.704 6.784
Li 4.330 0.901 0.601
Bi 0.112 0.901 4.926
Bi 5.618 2.704 2.459
O -0.522 2.704 6.432
O 0.501 2.704 3.218
O 2.075 0.901 6.119
O 3.654 2.704 1.266
O 5.228 0.901 4.167
O 6.252 0.901 0.952
CELL_PARAMETERS angstrom
7.544 0.000 0.000
0.000 3.606 0.000
-1.814 0.000 7.385

! CdIn2Sn2Pb PBE optimized geometry; values from VASP
! * ΔE_f: 42 meV per atom
&SYSTEM
  ibrav = 0, nat = 12, ntyp = 4
/
ATOMIC_SPECIES
Cd 112.41 Cd.upf
In 114.82 In.upf
Sn 118.71 Sn.upf
Pb 207.20 Pb.upf
ATOMIC_POSITIONS angstrom
Cd 0.000 1.826 0.000
Cd 0.000 7.727 3.791
In 0.000 4.024 3.032
In 0.000 5.529 6.823
In 2.361 2.999 5.416
In 2.361 6.555 1.625
Sn 0.000 1.165 4.582
Sn 0.000 8.388 0.791
Sn 2.361 3.598 0.843
Sn 2.361 5.955 4.635
Pb 2.361 0.739 2.321
Pb 2.361 8.815 6.112
CELL_PARAMETERS angstrom
4.721 0.000 0.000
0.000 9.553 0.000
0.000 0.000 7.583

! Ce2NdOs PBE optimized geometry; values from VASP
! * ΔE_f: -125 meV per atom
&SYSTEM
  ibrav = 0, nat = 32, ntyp = 3
/
ATOMIC_SPECIES
Ce 140.12 Ce.upf
Nd 144.24 Nd.upf
Os 190.23 Os.upf
ATOMIC_POSITIONS angstrom
Ce 0.534 0.551 1.516
Ce 0.534 4.187 1.516
Ce 3.096 5.328 5.840
Ce 3.096 8.885 5.840
Ce 4.181 0.591 2.718
Ce 4.181 4.147 2.718
Ce 6.744 5.289 4.637
Ce 6.744 8.924 4.637
Ce 7.812 0.551 1.606
Ce 7.812 4.187 1.606
Ce 10.374 5.328 3.526
Ce 10.374 8.885 3.526
Ce 11.459 0.591 0.404
Ce 11.459 4.147 0.404
Ce 14.021 5.289 4.728
Ce 14.021 8.924 4.728
Nd 1.516 2.369 4.544
Nd 2.070 7.107 2.872
Nd 5.208 2.369 5.994
Nd 5.762 7.107 1.422
Nd 8.794 2.369 4.822
Nd 9.347 7.107 0.250
Nd 12.486 2.369 3.372
Nd 13.039 7.107 1.700
Os 1.052 7.107 6.128
Os 2.564 2.369 1.380
Os 4.714 7.107 4.502
Os 6.226 2.369 3.006
Os 8.330 7.107 3.238
Os 9.841 2.369 1.742
Os 11.992 7.107 4.864
Os 13.503 2.369 0.116
CELL_PARAMETERS angstrom
14.555 0.000 0.000
0.000 9.475 0.000
0.000 0.000 6.244

Calculated D(E_F) in order - 0.00, 2.28, 8.32 states/eV/f.u.
Calculated final energy in order - -33.483, -17.854, -28.364 eV/f.u.